# 1
DFT (PBE) results for CaMgAl after structural relaxation.

Unit cell a=4.9983 b=4.9983 c=3.4952 alpha=90.00 beta=90.00 gamma=120.00
Space group P-6m2 (No. 187)
Symmetry-distinct sites (fractional):
1 Ca 0.0000 0.0000 0.0000 (multiplicity 1)
2 Mg 0.6667 0.3333 0.5000 (multiplicity 1)
3 Al 0.3333 0.6667 0.5000 (multiplicity 1)

Crystal system = hexagonal
M_tot = 0.00 μB/f.u.
E = -2.59 eV per atom

***

# 2
DFT (PBE) results for BiI2NF after structural relaxation.

Unit cell a=6.057 b=6.057 c=4.793 alpha=90.00 beta=90.00 gamma=90.00
Space group P4/mmm (No. 123)
Symmetry-distinct sites (fractional):
1 Bi 0.000 0.000 0.000 (multiplicity 1)
2 I 0.000 0.500 0.000 (multiplicity 2)
3 N 0.000 0.000 0.500 (multiplicity 1)
4 F 0.500 0.500 0.500 (multiplicity 1)

Crystal system = tetragonal
M_tot = 1.58 μB/f.u.
E = -2.78 eV per atom
ΔE_f (raw) = 0.660 eV per atom

***

# 3
DFT (PBE) results for Ba2Li3Ge2 after structural relaxation.

Unit cell a=11.873 b=4.766 c=7.412 alpha=90.00 beta=111.67 gamma=90.00
Space group C2/m (No. 12)
Symmetry-distinct sites (fractional):
1 Ba 0.138 0.000 0.272 (multiplicity 4)
2 Li 0.000 0.500 0.500 (multiplicity 2)
3 Li 0.156 0.500 0.915 (multiplicity 4)
4 Ge 0.146 0.000 0.738 (multiplicity 4)

Crystal system = monoclinic
M_tot = 0.00 μB/f.u.
E = -3.01 eV per atom

***

# 4
DFT (PBE) results for Rb2HgPb2 after structural relaxation.

Unit cell a=4.532 b=4.532 c=22.120 alpha=90.00 beta=90.00 gamma=90.00
Space group I4/mmm (No. 139)
Symmetry-distinct sites (fractional):
1 Rb 0.000 0.000 0.103 (multiplicity 4)
2 Hg 0.000 0.000 0.500 (multiplicity 2)
3 Pb 0.000 0.500 0.250 (multiplicity 4)

Crystal system = tetragonal
M_tot = 0.00 μB/f.u.
E = -1.97 eV per atom

***

# 5
DFT (PBE) results for NiAgW2 after structural relaxation.

Unit cell a=7.131 b=7.131 c=5.121 alpha=90.00 beta=90.00 gamma=90.00
Space group I-42d (No. 122)
Symmetry-distinct sites (fractional):
1 Ni 0.000 0.000 0.000 (multiplicity 4)
2 Ag 0.000 0.000 0.500 (multiplicity 4)
3 W 0.211 0.250 0.125 (multiplicity 8)

Crystal system = tetragonal
M_tot = 0.00 μB/f.u.
E = -7.67 eV per atom

***

# 6
DFT (PBE) results for BaLi3Ga3 after structural relaxation.

Unit cell a=7.042 b=7.042 c=7.042 alpha=90.00 beta=90.00 gamma=90.00
Space group Pm-3n (No. 223)
Symmetry-distinct sites (fractional):
1 Ba 0.000 0.000 0.000 (multiplicity 2)
2 Li 0.000 0.250 0.500 (multiplicity 6)
3 Ga 0.000 0.500 0.250 (multiplicity 6)

Crystal system = cubic
M_tot = 0.00 μB/f.u.
E = -2.39 eV per atom

***

# 7
DFT (PBE) results for LiMnW2 after structural relaxation.

Unit cell a=2.7670 b=2.7670 c=28.5785 alpha=90.00 beta=90.00 gamma=120.00
Space group R3m (No. 160, hexagonal axes)
Symmetry-distinct sites (fractional):
1 Li 0.0000 0.0000 0.0000 (multiplicity 3)
2 Mn 0.0000 0.0000 0.2512 (multiplicity 3)
3 W 0.0000 0.0000 0.5053 (multiplicity 3)
4 W 0.0000 0.0000 0.7535 (multiplicity 3)

Crystal system = trigonal
M_tot = 3.32 μB/f.u.
E = -8.76 eV per atom

***

# 8
DFT (PBE) results for ThZn12Ag6 after structural relaxation.

Unit cell a=11.4722 b=11.4722 c=9.0005 alpha=90.00 beta=90.00 gamma=120.00
Space group R-3m (No. 166, hexagonal axes)
Symmetry-distinct sites (fractional):
1 Th 0.0000 0.0000 0.0000 (multiplicity 3)
2 Zn 0.0000 0.3928 0.5000 (multiplicity 18)
3 Zn 0.0825 0.1650 0.2968 (multiplicity 18)
4 Ag 0.0531 0.5266 0.2347 (multiplicity 18)

Crystal system = trigonal
M_tot = 0.00 μB/f.u.
E = -2.09 eV per atom

***

# 9
DFT (PBE) results for LaSmY2As4 after structural relaxation.

Unit cell a=7.287 b=4.214 c=7.295 alpha=90.00 beta=109.47 gamma=90.00
Space group P2/m (No. 10)
Symmetry-distinct sites (fractional):
1 La 0.000 0.000 0.000 (multiplicity 1)
2 Sm 0.000 0.500 0.500 (multiplicity 1)
3 Y 0.500 0.000 0.500 (multiplicity 1)
4 Y 0.500 0.500 0.000 (multiplicity 1)
5 As 0.258 0.000 0.749 (multiplicity 2)
6 As 0.260 0.500 0.257 (multiplicity 2)

Crystal system = monoclinic
M_tot = 0.00 μB/f.u.
E = -6.69 eV per atom

***

# 10
DFT (PBE) results for Rb2Pu3AlO12 after structural relaxation.

Unit cell a=7.8104 b=7.8104 c=17.2527 alpha=90.00 beta=90.00 gamma=120.00
Space group R-3m (No. 166, hexagonal axes)
Symmetry-distinct sites (fractional):
1 Rb 0.0000 0.0000 0.1305 (multiplicity 6)
2 Pu 0.0000 0.5000 0.0000 (multiplicity 9)
3 Al 0.0000 0.0000 0.5000 (multiplicity 3)
4 O 0.0779 0.5389 0.3646 (multiplicity 18)
5 O 0.0987 0.5493 0.1050 (multiplicity 18)

Crystal system = trigonal
M_tot = 5.00 μB/f.u.
E = -8.46 eV per atom
ΔE_f (raw) = -2.450 eV per atom

***

# 11
DFT (PBE) results for LiPm3Np3Se8 after structural relaxation.

Unit cell a=8.2353 b=8.2353 c=20.2831 alpha=90.00 beta=90.00 gamma=120.00
Space group R-3m (No. 166, hexagonal axes)
Symmetry-distinct sites (fractional):
1 Li 0.0000 0.0000 0.0000 (multiplicity 3)
2 Pm 0.0000 0.5000 0.5000 (multiplicity 9)
3 Np 0.0000 0.5000 0.0000 (multiplicity 9)
4 Se 0.0000 0.0000 0.2523 (multiplicity 6)
5 Se 0.0012 0.5006 0.7470 (multiplicity 18)

Crystal system = trigonal
M_tot = 12.78 μB/f.u.
E = -6.98 eV per atom
ΔE_f (raw) = -1.454 eV per atom

***

# 12
DFT (PBE) results for Ce4Os2Pb after structural relaxation.

Unit cell a=4.565 b=12.146 c=13.602 alpha=90.00 beta=90.00 gamma=90.00
Space group Cmcm (No. 63)
Symmetry-distinct sites (fractional):
1 Ce 0.000 0.000 0.000 (multiplicity 4)
2 Ce 0.000 0.269 0.108 (multiplicity 8)
3 Ce 0.000 0.417 0.750 (multiplicity 4)
4 Os 0.000 0.392 0.554 (multiplicity 8)
5 Pb 0.000 0.113 0.750 (multiplicity 4)

Crystal system = orthorhombic
M_tot = 1.89 μB/f.u.
E = -7.37 eV per atom

***

# 13
DFT (PBE) results for SrLiNpF6 after structural relaxation.

Unit cell a=5.6756 b=5.6756 c=5.3855 alpha=90.00 beta=90.00 gamma=120.00
Space group P312 (No. 149)
Symmetry-distinct sites (fractional):
1 Sr 0.0000 0.0000 0.0000 (multiplicity 1)
2 Li 0.6667 0.3333 0.5000 (multiplicity 1)
3 Np 0.3333 0.6667 0.5000 (multiplicity 1)
4 F 0.3572 0.0216 0.7241 (multiplicity 6)

Crystal system = trigonal
M_tot = 4.00 μB/f.u.
E = -6.51 eV per atom
ΔE_f (raw) = -3.422 eV per atom

***

# 14
DFT (PBE) results for Tb2Nd6Y3Tl after structural relaxation.

Unit cell a=6.234 b=10.817 c=11.860 alpha=90.00 beta=100.17 gamma=90.00
Space group C2/m (No. 12)
Symmetry-distinct sites (fractional):
1 Tb 0.000 0.167 0.000 (multiplicity 4)
2 Nd 0.245 0.500 0.751 (multiplicity 4)
3 Nd 0.247 0.336 0.248 (multiplicity 8)
4 Y 0.000 0.000 0.500 (multiplicity 2)
5 Y 0.000 0.333 0.500 (multiplicity 4)
6 Tl 0.000 0.500 0.000 (multiplicity 2)

Crystal system = monoclinic
M_tot = 0.00 μB/f.u.
E = -4.98 eV per atom

***

# 15
DFT (PBE) results for SrPbSe2 after structural relaxation.

Unit cell a=4.6739 b=4.6739 c=25.9100 alpha=90.00 beta=90.00 gamma=120.00
Space group R-3m (No. 166, hexagonal axes)
Symmetry-distinct sites (fractional):
1 Sr 0.0000 0.0000 0.0000 (multiplicity 3)
2 Pb 0.0000 0.0000 0.5000 (multiplicity 3)
3 Se 0.0000 0.0000 0.3933 (multiplicity 6)

Crystal system = trigonal
M_tot = 0.00 μB/f.u.
E = -3.88 eV per atom
ΔE_f (raw) = -0.791 eV per atom

***

# 16
DFT (PBE) results for TmBi2OsO8 after structural relaxation.

Unit cell a=5.195 b=6.674 c=5.211 alpha=90.00 beta=90.83 gamma=90.00
Space group P2/m (No. 10)
Symmetry-distinct sites (fractional):
1 Tm 0.000 0.000 0.000 (multiplicity 1)
2 Bi 0.500 0.251 0.500 (multiplicity 2)
3 Os 0.000 0.500 0.000 (multiplicity 1)
4 O 0.175 0.278 0.182 (multiplicity 4)
5 O 0.251 0.500 0.761 (multiplicity 2)
6 O 0.308 0.000 0.697 (multiplicity 2)

Crystal system = monoclinic
M_tot = 0.00 μB/f.u.
E = -6.85 eV per atom
ΔE_f (raw) = -1.587 eV per atom

***

# 17
DFT (PBE) results for LiNpO4 after structural relaxation.

Unit cell a=5.960 b=5.960 c=5.489 alpha=90.00 beta=90.00 gamma=90.00
Space group I-4 (No. 82)
Symmetry-distinct sites (fractional):
1 Li 0.000 0.000 0.000 (multiplicity 2)
2 Np 0.000 0.500 0.750 (multiplicity 2)
3 O 0.143 0.778 0.786 (multiplicity 8)

Crystal system = tetragonal
M_tot = 0.00 μB/f.u.
E = -7.99 eV per atom
ΔE_f (raw) = -2.204 eV per atom

***

# 18
DFT (PBE) results for AcNpNiSe4 after structural relaxation.

Unit cell a=6.953 b=6.009 c=8.507 alpha=90.00 beta=107.21 gamma=90.00
Space group P2_1/m (No. 11)
Symmetry-distinct sites (fractional):
1 Ac 0.240 0.250 0.432 (multiplicity 2)
2 Np 0.241 0.250 0.942 (multiplicity 2)
3 Ni 0.257 0.750 0.182 (multiplicity 2)
4 Se 0.071 0.750 0.374 (multiplicity 2)
5 Se 0.080 0.750 0.905 (multiplicity 2)
6 Se 0.483 0.508 0.764 (multiplicity 4)

Crystal system = monoclinic
M_tot = 3.19 μB/f.u.
E = -6.45 eV per atom
ΔE_f (raw) = -1.195 eV per atom

***

# 19
DFT (PBE) results for CaTe2Au after structural relaxation.

Unit cell a=4.252 b=4.252 c=12.123 alpha=90.00 beta=90.00 gamma=90.00
Space group I-4m2 (No. 119)
Symmetry-distinct sites (fractional):
1 Ca 0.000 0.000 0.000 (multiplicity 2)
2 Te 0.000 0.000 0.500 (multiplicity 2)
3 Te 0.000 0.500 0.750 (multiplicity 2)
4 Au 0.000 0.500 0.250 (multiplicity 2)

Crystal system = tetragonal
M_tot = 0.00 μB/f.u.
E = -3.45 eV per atom
ΔE_f (raw) = -0.558 eV per atom

***

# 20
DFT (PBE) results for YMnCo after structural relaxation.

Unit cell a=6.288 b=6.288 c=6.288 alpha=90.00 beta=90.00 gamma=90.00
Space group F-43m (No. 216)
Symmetry-distinct sites (fractional):
1 Y 0.000 0.000 0.000 (multiplicity 4)
2 Mn 0.250 0.250 0.750 (multiplicity 4)
3 Co 0.250 0.250 0.250 (multiplicity 4)

Crystal system = cubic
M_tot = 4.00 μB/f.u.
E = -6.59 eV per atom

***

# 21
DFT (PBE) results for Tb2Pm6Ho3Tl after structural relaxation.

Unit cell a=6.177 b=10.725 c=11.786 alpha=90.00 beta=100.16 gamma=90.00
Space group C2/m (No. 12)
Symmetry-distinct sites (fractional):
1 Tb 0.000 0.166 0.000 (multiplicity 4)
2 Pm 0.245 0.500 0.749 (multiplicity 4)
3 Pm 0.247 0.336 0.249 (multiplicity 8)
4 Ho 0.000 0.000 0.500 (multiplicity 2)
5 Ho 0.000 0.333 0.500 (multiplicity 4)
6 Tl 0.000 0.500 0.000 (multiplicity 2)

Crystal system = monoclinic
M_tot = 0.00 μB/f.u.
E = -4.50 eV per atom

***

# 22
DFT (PBE) results for EuHgAu after structural relaxation.

Unit cell a=3.923 b=3.923 c=9.794 alpha=90.00 beta=90.00 gamma=90.00
Space group I4mm (No. 107)
Symmetry-distinct sites (fractional):
1 Eu 0.000 0.000 0.000 (multiplicity 2)
2 Hg 0.000 0.000 0.677 (multiplicity 2)
3 Au 0.000 0.000 0.337 (multiplicity 2)

Crystal system = tetragonal
M_tot = 7.11 μB/f.u.
E = -5.20 eV per atom

***

# 23
DFT (PBE) results for NaLiZnF4 after structural relaxation.

Unit cell a=6.091 b=9.418 c=6.509 alpha=90.00 beta=90.00 gamma=90.00
Space group Cmcm (No. 63)
Symmetry-distinct sites (fractional):
1 Na 0.000 0.000 0.000 (multiplicity 4)
2 Li 0.000 0.350 0.250 (multiplicity 4)
3 Zn 0.000 0.352 0.750 (multiplicity 4)
4 F 0.000 0.247 0.002 (multiplicity 8)
5 F 0.226 0.498 0.250 (multiplicity 8)

Crystal system = orthorhombic
M_tot = 0.00 μB/f.u.
E = -4.31 eV per atom
ΔE_f (raw) = -2.597 eV per atom